Record 1
First-principles (PBE) data for a relaxed La3Cd2Cu2Au4 crystal, as listed in Alexandria via LeMat-Bulk.

Summary:
- V: 24.48 Å³ per atom
- Formation energy from the elements: -516 meV/atom
- Electronic total energy: -3.962 eV per atom
- Crystal system: trigonal

abc: 4.6320 4.6320 14.4929
angles: 90.00 90.00 120.00
Element x y z (fractional)
La 0.0000 0.0000 0.0000
La 0.0000 0.0000 0.2591
La 0.0000 0.0000 0.7409
Cd 0.3333 0.6667 0.5640
Cd 0.6667 0.3333 0.4360
Cu 0.3333 0.6667 0.1335
Cu 0.6667 0.3333 0.8665
Au 0.3333 0.6667 0.3657
Au 0.3333 0.6667 0.8730
Au 0.6667 0.3333 0.1270
Au 0.6667 0.3333 0.6343

---

Record 2
First-principles (PBE) data for a relaxed CsBa4Sr15 crystal, as listed in Alexandria via LeMat-Bulk.

Summary:
- V: 58.23 Å³ per atom
- Formation energy from the elements: 34 meV/atom
- Electronic total energy: -1.655 eV per atom
- Crystal system: tetragonal

abc: 6.1573 6.1573 30.7177
angles: 90.00 90.00 90.00
Element x y z (fractional)
Cs 0.0000 0.0000 0.0000
Ba 0.0000 0.0000 0.2052
Ba 0.0000 0.0000 0.4015
Ba 0.0000 0.0000 0.5985
Ba 0.0000 0.0000 0.7948
Sr 0.0000 0.5000 0.1058
Sr 0.0000 0.5000 0.3031
Sr 0.0000 0.5000 0.5000
Sr 0.0000 0.5000 0.6969
Sr 0.0000 0.5000 0.8942
Sr 0.5000 0.0000 0.1058
Sr 0.5000 0.0000 0.3031
Sr 0.5000 0.0000 0.5000
Sr 0.5000 0.0000 0.6969
Sr 0.5000 0.0000 0.8942
Sr 0.5000 0.5000 0.0000
Sr 0.5000 0.5000 0.2039
Sr 0.5000 0.5000 0.4017
Sr 0.5000 0.5000 0.5983
Sr 0.5000 0.5000 0.7961

---

Record 3
First-principles (PBE) data for a relaxed TmGe4Pd5 crystal, as listed in Alexandria via LeMat-Bulk.

Summary:
- V: 17.62 Å³ per atom
- Formation energy from the elements: -494 meV/atom
- Electronic total energy: -5.384 eV per atom
- Crystal system: orthorhombic

abc: 7.5756 8.4371 5.5126
angles: 90.00 90.00 90.00
Element x y z (fractional)
Tm 0.2500 0.2500 0.0172
Tm 0.7500 0.7500 0.9828
Ge 0.0823 0.2500 0.5163
Ge 0.2500 0.6031 0.0849
Ge 0.2500 0.8969 0.0849
Ge 0.4177 0.2500 0.5163
Ge 0.5823 0.7500 0.4837
Ge 0.7500 0.1031 0.9151
Ge 0.7500 0.3969 0.9151
Ge 0.9177 0.7500 0.4837
Pd 0.0362 0.5153 0.7499
Pd 0.0362 0.9847 0.7499
Pd 0.2500 0.7500 0.5161
Pd 0.4638 0.5153 0.7499
Pd 0.4638 0.9847 0.7499
Pd 0.5362 0.0153 0.2501
Pd 0.5362 0.4847 0.2501
Pd 0.7500 0.2500 0.4839
Pd 0.9638 0.0153 0.2501
Pd 0.9638 0.4847 0.2501